# 1
This record from Alexandria describes a relaxed Be2OsW crystal. The functional is GGA-PBE.

- VASP energy (eV/atom) = -7.863

```
4
Lattice="-1.215 -2.560 0.179 2.361 -1.192 -1.030 2.039 -0.593 5.363" Properties=species:S:1:pos:R:3 pbc="T T T"
Be 0.070 -0.020 0.185
Be 0.950 -0.276 2.497
Os 1.083 -2.024 0.916
W 2.103 -2.321 3.597
```



# 2
This record from Alexandria describes a relaxed BeOs2W crystal. The functional is GGA-PBE.

- VASP energy (eV/atom) = -9.690

```
4
Lattice="-0.727 2.046 -3.299 0.303 -2.277 -1.479 -4.768 -2.533 -0.520" Properties=species:S:1:pos:R:3 pbc="T T T"
Be -3.721 -2.756 -3.253
Os -4.385 -4.593 -1.882
Os -1.497 -0.171 -2.140
W -2.288 -2.461 -1.022
```



# 3
This record from Alexandria describes a relaxed Be2OsW crystal. The functional is GGA-PBE.

- VASP energy (eV/atom) = -7.923

```
4
Lattice="4.685 -0.010 0.020 3.767 2.785 0.020 1.731 0.568 3.612" Properties=species:S:1:pos:R:3 pbc="T T T"
Be 1.879 0.617 3.532
Be 7.509 2.465 2.809
Os 4.979 1.635 1.882
W 2.638 0.866 0.867
```



# 4
This record from Alexandria describes a relaxed Be2OsW crystal. The functional is GGA-PBE.

- VASP energy (eV/atom) = -7.885

```
4
Lattice="2.895 0.000 0.000 0.000 2.895 0.000 0.000 0.000 5.792" Properties=species:S:1:pos:R:3 pbc="T T T"
Be 0.000 0.000 0.244
Be 1.448 1.448 1.370
Os 0.000 0.000 2.714
W 1.448 1.448 4.360
```